Compound: LaAuS2
Source: Alexandria
Functional: GGA-PBE
Structure: optimized geometry

## Properties
Distance to the lowest polymorph of the same formula: 0.0733 eV per atom
DFT total energy: -5.440 eV per atom
Magnetic moment: 0.000 μB/atom

Cell lengths 4.8333, 5.7549, 7.0889 Å; angles 85.48, 86.75, 87.13 degrees
Atoms (fractional coordinates):
La1 0.0000 0.0000 0.0000
La2 0.4459 0.4534 0.3778
Au1 0.6113 0.9733 0.6323
Au2 0.6425 0.5286 0.8974
S1 0.2786 0.6971 0.7150
S2 0.4746 0.9831 0.2233
S3 0.9253 0.2681 0.6256
S4 0.9519 0.4794 0.1482